DFT (PBE+U) results for a relaxed structure of CoTe4O2.

Cell: 7.190 7.190 7.190 Å, 140.52 140.52 57.07°
Sites, in units of the cell vectors:
Co1 0.000 0.000 0.000
Te1 0.000 0.500 0.500
Te2 0.244 0.244 0.000
Te3 0.500 0.000 0.500
Te4 0.756 0.756 0.000
O1 0.402 0.402 0.000
O2 0.598 0.598 0.000

Total energy: -3.81 eV/atom
D(E_F): 4.94 states/eV/cell